## LaNd3Y8 (PBE)

Data for a relaxed LaNd3Y8 crystal. Values from VASP.

Calculated values
ρ in Mg/m³: 4.910
DOS(E_F) in states/eV per cell: 17.80
Uncorrected energy in eV/atom: -5.611
Space group: Immm (71)
Total magnetization in μB/cell: 0.00

The structure in Quantum ESPRESSO input format:
```
&SYSTEM
  ibrav = 0, nat = 12, ntyp = 3
/
ATOMIC_SPECIES
Y 88.91 Y.upf
La 138.91 La.upf
Nd 144.24 Nd.upf
ATOMIC_POSITIONS angstrom
Y -2.8920 7.2214 4.3951
Y -0.0136 5.9690 2.9860
La 0.0000 0.0000 0.0000
Y 5.2769 0.9385 -2.1230
Nd -2.4053 3.8234 3.6558
Nd 1.4959 1.9265 3.6238
Nd 0.8892 6.2334 -1.3515
Y 2.3985 2.1914 -0.7133
Y -2.0739 1.6779 6.1173
Y 2.8746 4.7576 1.5288
Y -0.4891 3.4023 0.7437
Y 4.4593 6.4816 -3.8454
CELL_PARAMETERS angstrom
7.1959 0.5130 -5.0393
-3.0307 8.1599 -1.2911
-1.7800 -0.5131 8.6027
```